PaIrNO GGA-PBE optimized geometry; VASP energy = -0.6331 Ry per atom; space group = No. 129; energy relative to the lowest polymorph listed for this composition = 63 meV/atom; density = 14.491 g/cm3; size of the total moment = 0.000 μB per atom
1.0
3.6130 0.0000 0.0000
0.0000 3.6130 0.0000
0.0000 0.0000 7.9581
N Pa Ir O
2 2 2 2
direct
0.5000 0.0000 0.2681
0.0000 0.5000 0.7319
0.0000 0.5000 0.1891
0.5000 0.0000 0.8109
0.5000 0.5000 0.5000
0.0000 0.0000 0.5000
0.5000 0.5000 0.0000
0.0000 0.0000 0.0000